# PaReO6F GGA-PBE optimized geometry
# Magnetic moment in μB per cell: 0.44
# N(E_F) in states/eV per cell: 2.56
# Total DFT energy (no corrections) in eV per atom: -7.893
# Formation energy (no corrections) in eV per atom: -1.94
data_PaReO6F
_space_group_name_H-M_alt 'C 1 2 1'
_space_group_IT_number 5
_cell_length_a 5.7470
_cell_length_b 9.6254
_cell_length_c 5.3819
_cell_angle_alpha 90.00
_cell_angle_beta 109.64
_cell_angle_gamma 90.00
loop_
_space_group_symop_operation_xyz
'x,y,z'
'-x,y,-z'
'x+1/2,y+1/2,z'
'-x+1/2,y+1/2,-z'
loop_
_atom_site_label
_atom_site_fract_x
_atom_site_fract_y
_atom_site_fract_z
Pa1 0.0000 0.0000 0.0000
Re1 0.0000 0.6513 0.0000
O1 0.1758 0.8070 0.1998
O2 0.1997 0.6350 0.7831
O3 0.2396 0.5271 0.2135
F1 0.0000 0.3016 0.5000